No. 1
# GGA-PBE Mg5Pd8Au, relaxed
data_Mg5Pd8Au
_chemical_formula_sum 'Mg10 Pd16 Au2'
_cell_length_a 7.7572
_cell_length_b 7.7572
_cell_length_c 7.8681
_cell_angle_alpha 90.00
_cell_angle_beta 90.00
_cell_angle_gamma 90.00
_space_group_name_H-M_alt 'I -4'
_space_group_IT_number 82
loop_
_space_group_symop_operation_xyz
'x,y,z'
'y,-x,-z'
'-x,-y,z'
'-y,x,-z'
'x+1/2,y+1/2,z+1/2'
'y+1/2,-x+1/2,-z+1/2'
'-x+1/2,-y+1/2,z+1/2'
'-y+1/2,x+1/2,-z+1/2'
loop_
_atom_site_label
_atom_site_type_symbol
_atom_site_fract_x
_atom_site_fract_y
_atom_site_fract_z
Mg1 Mg 0.0000 0.0000 0.0000
Mg2 Mg 0.1296 0.7741 0.4046
Pd1 Pd 0.0718 0.6669 0.0836
Pd2 Pd 0.0922 0.8359 0.7342
Au1 Au 0.0000 0.5000 0.7500
# Crystal system: tetragonal

=====

No. 2
# GGA-PBE Mg2Pd9Au, relaxed
data_Mg2Pd9Au
_chemical_formula_sum 'Mg2 Pd9 Au1'
_cell_length_a 3.9766
_cell_length_b 3.9766
_cell_length_c 11.9489
_cell_angle_alpha 90.00
_cell_angle_beta 90.00
_cell_angle_gamma 90.00
_space_group_name_H-M_alt 'P 4/m m m'
_space_group_IT_number 123
_space_group_name_Hall '-P 4 2'
loop_
_atom_site_label
_atom_site_type_symbol
_atom_site_fract_x
_atom_site_fract_y
_atom_site_fract_z
Mg1 Mg 0.0000 0.0000 0.1644
Pd1 Pd 0.0000 0.5000 0.0000
Pd2 Pd 0.0000 0.5000 0.3300
Pd3 Pd 0.5000 0.5000 0.1646
Pd4 Pd 0.5000 0.5000 0.5000
Au1 Au 0.0000 0.0000 0.5000
# Crystal system: tetragonal

=====

No. 3
# GGA-PBE MgPd8Au2, relaxed
data_MgPd8Au2
_chemical_formula_sum 'Mg2 Pd16 Au4'
_cell_length_a 7.4683
_cell_length_b 12.7375
_cell_length_c 4.9996
_cell_angle_alpha 90.00
_cell_angle_beta 128.20
_cell_angle_gamma 90.00
_space_group_name_H-M_alt 'C 1 2/m 1'
_space_group_IT_number 12
loop_
_space_group_symop_operation_xyz
'x,y,z'
'-x,-y,-z'
'-x,y,-z'
'x,-y,z'
'x+1/2,y+1/2,z'
'-x+1/2,-y+1/2,-z'
'-x+1/2,y+1/2,-z'
'x+1/2,-y+1/2,z'
loop_
_atom_site_label
_atom_site_type_symbol
_atom_site_fract_x
_atom_site_fract_y
_atom_site_fract_z
Mg1 Mg 0.0000 0.0000 0.0000
Pd1 Pd 0.0000 0.2119 0.0000
Pd2 Pd 0.0852 0.5000 0.8174
Pd3 Pd 0.2144 0.1131 0.6298
Au1 Au 0.0000 0.3077 0.5000
# Crystal system: monoclinic
# Relative energy among the computed polymorphs: 224.5 kJ/mol of formula units

=====

No. 4
# GGA-PBE Mg3Pd5Au, relaxed
data_Mg3Pd5Au
_chemical_formula_sum 'Mg6 Pd10 Au2'
_cell_length_a 7.8128
_cell_length_b 7.8128
_cell_length_c 5.5075
_cell_angle_alpha 90.00
_cell_angle_beta 90.00
_cell_angle_gamma 120.00
_space_group_name_H-M_alt 'P 63/m c m'
_space_group_IT_number 193
_space_group_name_Hall '-P 6c 2'
loop_
_atom_site_label
_atom_site_type_symbol
_atom_site_fract_x
_atom_site_fract_y
_atom_site_fract_z
Mg1 Mg 0.0000 0.3475 0.2500
Pd1 Pd 0.0000 0.3246 0.7500
Pd2 Pd 0.3333 0.6667 0.0000
Au1 Au 0.0000 0.0000 0.0000
# Crystal system: hexagonal

=====

No. 5
# GGA-PBE Mg3Pd4Au, relaxed
data_Mg3Pd4Au
_chemical_formula_sum 'Mg3 Pd4 Au1'
_cell_length_a 3.6625
_cell_length_b 4.2037
_cell_length_c 8.4338
_cell_angle_alpha 90.00
_cell_angle_beta 90.00
_cell_angle_gamma 90.00
_space_group_name_H-M_alt 'P m m m'
_space_group_IT_number 47
loop_
_space_group_symop_operation_xyz
'x,y,z'
'-x,-y,-z'
'-x,-y,z'
'x,y,-z'
'x,-y,-z'
'-x,y,z'
'-x,y,-z'
'x,-y,z'
loop_
_atom_site_label
_atom_site_type_symbol
_atom_site_fract_x
_atom_site_fract_y
_atom_site_fract_z
Mg1 Mg 0.0000 0.0000 0.0000
Mg2 Mg 0.0000 0.5000 0.2616
Pd1 Pd 0.5000 0.0000 0.2427
Pd2 Pd 0.5000 0.5000 0.0000
Pd3 Pd 0.5000 0.5000 0.5000
Au1 Au 0.0000 0.0000 0.5000
# Crystal system: orthorhombic

=====

No. 6
# GGA-PBE Mg2Pd7Au, relaxed
data_Mg2Pd7Au
_chemical_formula_sum 'Mg4 Pd14 Au2'
_cell_length_a 8.5124
_cell_length_b 15.4693
_cell_length_c 2.7797
_cell_angle_alpha 90.00
_cell_angle_beta 90.00
_cell_angle_gamma 90.00
_space_group_name_H-M_alt 'C m m m'
_space_group_IT_number 65
_space_group_name_Hall '-C 2 2'
loop_
_atom_site_label
_atom_site_type_symbol
_atom_site_fract_x
_atom_site_fract_y
_atom_site_fract_z
Mg1 Mg 0.0000 0.1765 0.0000
Pd1 Pd 0.0000 0.0000 0.0000
Pd2 Pd 0.0000 0.3182 0.5000
Pd3 Pd 0.2334 0.4048 0.0000
Au1 Au 0.0000 0.5000 0.5000
# Crystal system: orthorhombic

=====

No. 7
# GGA-PBE MgPd6Au5, relaxed
data_MgPd6Au5
_chemical_formula_sum 'Mg2 Pd12 Au10'
_cell_length_a 4.1401
_cell_length_b 7.7671
_cell_length_c 12.3494
_cell_angle_alpha 90.00
_cell_angle_beta 90.00
_cell_angle_gamma 90.00
_space_group_name_H-M_alt 'I m m m'
_space_group_IT_number 71
_space_group_name_Hall '-I 2 2'
loop_
_atom_site_label
_atom_site_type_symbol
_atom_site_fract_x
_atom_site_fract_y
_atom_site_fract_z
Mg1 Mg 0.0000 0.0000 0.0000
Pd1 Pd 0.0000 0.2480 0.1657
Pd2 Pd 0.0000 0.2530 0.5000
Au1 Au 0.0000 0.0000 0.3335
Au2 Au 0.0000 0.5000 0.0000
Au3 Au 0.0000 0.5000 0.3353
# Crystal system: orthorhombic
# Relative energy among the computed polymorphs: 0.0 kJ/mol of formula units

=====

No. 8
# GGA-PBE Mg4PdAu7, relaxed
data_Mg4PdAu7
_chemical_formula_sum 'Mg8 Pd2 Au14'
_cell_length_a 10.8604
_cell_length_b 5.1041
_cell_length_c 9.9037
_cell_angle_alpha 90.00
_cell_angle_beta 120.45
_cell_angle_gamma 90.00
_space_group_name_H-M_alt 'C 1 2/m 1'
_space_group_IT_number 12
loop_
_space_group_symop_operation_xyz
'x,y,z'
'-x,-y,-z'
'-x,y,-z'
'x,-y,z'
'x+1/2,y+1/2,z'
'-x+1/2,-y+1/2,-z'
'-x+1/2,y+1/2,-z'
'x+1/2,-y+1/2,z'
loop_
_atom_site_label
_atom_site_type_symbol
_atom_site_fract_x
_atom_site_fract_y
_atom_site_fract_z
Mg1 Mg 0.0956 0.0000 0.2790
Mg2 Mg 0.2445 0.5000 0.1633
Pd1 Pd 0.0000 0.5000 0.5000
Au1 Au 0.0000 0.0000 0.5000
Au2 Au 0.0764 0.5000 0.8189
Au3 Au 0.1340 0.0000 0.0236
Au4 Au 0.2089 0.5000 0.4106
# Crystal system: monoclinic

=====

No. 9
# GGA-PBE Mg2Pd3Au3, relaxed
data_Mg2Pd3Au3
_chemical_formula_sum 'Mg2 Pd3 Au3'
_cell_length_a 3.9564
_cell_length_b 4.0638
_cell_length_c 8.2355
_cell_angle_alpha 90.00
_cell_angle_beta 90.00
_cell_angle_gamma 90.00
_space_group_name_H-M_alt 'P m m m'
_space_group_IT_number 47
loop_
_space_group_symop_operation_xyz
'x,y,z'
'-x,-y,-z'
'-x,-y,z'
'x,y,-z'
'x,-y,-z'
'-x,y,z'
'-x,y,-z'
'x,-y,z'
loop_
_atom_site_label
_atom_site_type_symbol
_atom_site_fract_x
_atom_site_fract_y
_atom_site_fract_z
Mg1 Mg 0.0000 0.0000 0.2402
Pd1 Pd 0.5000 0.0000 0.0000
Pd2 Pd 0.5000 0.5000 0.2490
Au1 Au 0.0000 0.5000 0.0000
Au2 Au 0.0000 0.5000 0.5000
Au3 Au 0.5000 0.0000 0.5000
# Crystal system: orthorhombic
# Relative energy among the computed polymorphs: 3.0 kJ/mol of formula units

=====

No. 10
# GGA-PBE Mg5Pd12Au2, relaxed
data_Mg5Pd12Au2
_chemical_formula_sum 'Mg10 Pd24 Au4'
_cell_length_a 15.1884
_cell_length_b 5.4904
_cell_length_c 8.3784
_cell_angle_alpha 90.00
_cell_angle_beta 105.59
_cell_angle_gamma 90.00
_space_group_name_H-M_alt 'C 1 2/m 1'
_space_group_IT_number 12
loop_
_space_group_symop_operation_xyz
'x,y,z'
'-x,-y,-z'
'-x,y,-z'
'x,-y,z'
'x+1/2,y+1/2,z'
'-x+1/2,-y+1/2,-z'
'-x+1/2,y+1/2,-z'
'x+1/2,-y+1/2,z'
loop_
_atom_site_label
_atom_site_type_symbol
_atom_site_fract_x
_atom_site_fract_y
_atom_site_fract_z
Mg1 Mg 0.0000 0.0000 0.0000
Mg2 Mg 0.1297 0.5000 0.3728
Mg3 Mg 0.2071 0.5000 0.8967
Pd1 Pd 0.0260 0.5000 0.8447
Pd2 Pd 0.1071 0.0000 0.8022
Pd3 Pd 0.1443 0.2522 0.1118
Pd4 Pd 0.2052 0.2422 0.6239
Au1 Au 0.0000 0.2481 0.5000
# Crystal system: monoclinic

=====

Number 1: total moment 0.0 μB per formula unit, formation energy -0.45 eV/atom, volume 16.91 A^3/atom. Number 2: total moment 0.0 μB per formula unit, formation energy -0.33 eV/atom, volume 15.75 A^3/atom. Number 3: total moment 0.0 μB per formula unit, formation energy 0.00 eV/atom, volume 16.99 A^3/atom. Number 4: total moment 0.0 μB per formula unit, formation energy -0.58 eV/atom, volume 16.17 A^3/atom. Number 5: total moment 0.0 μB per formula unit, formation energy -0.65 eV/atom, volume 16.23 A^3/atom. Number 6: total moment 0.0 μB per formula unit, formation energy 0.01 eV/atom, volume 18.30 A^3/atom. Number 7: total moment 0.0 μB per formula unit, formation energy -0.23 eV/atom, volume 16.55 A^3/atom. Number 8: total moment 0.0 μB per formula unit, formation energy -0.32 eV/atom, volume 19.72 A^3/atom. Number 9: total moment 0.0 μB per formula unit, formation energy -0.55 eV/atom, volume 16.55 A^3/atom. Number 10: total moment 0.0 μB per formula unit, formation energy -0.23 eV/atom, volume 17.71 A^3/atom.